The following is a DFT calculation (PBE-GGA) of a geometry-optimized TiBC2O structure.

The uncorrected formation energy is 1.883 eV/atom. The calculation puts the total moment at 0.000 μB/atom. As for the density of states at the Fermi level: 3.23 states/eV/cell.

abc: 3.6115 3.6115 3.8541
angles: 90.00 90.00 90.00
With the nearest neighbours (Å) after each atom.
Space group P4/mmm (No. 123)
Symmetry-distinct sites (fractional):
Ti 0.0000 0.0000 0.0000 (multiplicity 1)  2 O 1.93
B 0.5000 0.5000 0.0000 (multiplicity 1)  4 Ti 2.55, 8 C 2.64
C 0.0000 0.5000 0.5000 (multiplicity 2)  2 O 1.81
O 0.0000 0.0000 0.5000 (multiplicity 1)  4 C 1.81, 2 Ti 1.93



The following is a DFT calculation (PBE-GGA) of a geometry-optimized BOsC3 structure.

The calculation puts the energy relative to the elements at 2.70 eV/atom. The calculation puts the total moment at 0.000 μB/atom. As for the density of states at the Fermi level: 3.91 states/eV/cell.

abc: 3.9789 3.9789 3.9789
angles: 90.00 90.00 90.00
With the nearest neighbours (Å) after each atom.
Space group Pm-3m (No. 221)
Symmetry-distinct sites (fractional):
B 0.0000 0.0000 0.0000 (multiplicity 1)  12 C 2.81
Os 0.5000 0.5000 0.5000 (multiplicity 1)  6 C 1.99
C 0.0000 0.5000 0.5000 (multiplicity 3)  2 Os 1.99



The following is a DFT calculation (PBE-GGA) of a geometry-optimized BOsC3 structure.

The calculation puts the energy relative to the elements at 2.50 eV/atom. The calculation puts the total moment at 0.000 μB/atom. As for the density of states at the Fermi level: 4.72 states/eV/cell.

abc: 3.4538 3.4538 3.4538
angles: 90.00 90.00 90.00
With the nearest neighbours (Å) after each atom.
Space group Pm-3m (No. 221)
Symmetry-distinct sites (fractional):
B 0.0000 0.0000 0.0000 (multiplicity 1)  6 C 1.73
Os 0.5000 0.5000 0.5000 (multiplicity 1)  12 C 2.44
C 0.0000 0.0000 0.5000 (multiplicity 3)  2 B 1.73



The following is a DFT calculation (PBE-GGA) of a geometry-optimized BOsC2 structure.

The calculation puts the energy relative to the elements at 0.80 eV/atom. The calculation puts the total moment at 0.000 μB/atom. As for the density of states at the Fermi level: 9.44 states/eV/cell.

abc: 4.3296 4.3296 8.0871
angles: 90.00 90.00 90.00
With the nearest neighbours (Å) after each atom.
Space group I-42d (No. 122)
Symmetry-distinct sites (fractional):
B 0.0000 0.0000 0.0000 (multiplicity 4)  4 C 1.70
Os 0.0000 0.0000 0.5000 (multiplicity 4)  4 C 2.00
C 0.1906 0.2500 0.1250 (multiplicity 8)  2 B 1.70



The following is a DFT calculation (PBE-GGA) of a geometry-optimized BOs2C structure.

The calculation puts the energy relative to the elements at 0.70 eV/atom. The calculation puts the total moment at 0.000 μB/atom. As for the density of states at the Fermi level: 21.33 states/eV/cell.

abc: 4.5312 4.5312 9.8750
angles: 90.00 90.00 90.00
With the nearest neighbours (Å) after each atom.
Space group I-42d (No. 122)
Symmetry-distinct sites (fractional):
B 0.0000 0.0000 0.0000 (multiplicity 4)  4 Os 2.06
Os 0.2360 0.2500 0.6250 (multiplicity 8)  2 C 1.99, 2 B 2.06
C 0.0000 0.0000 0.5000 (multiplicity 4)  4 Os 1.99



The following is a DFT calculation (PBE-GGA) of a geometry-optimized BOs2C structure.

The calculation puts the energy relative to the elements at 0.91 eV/atom. The calculation puts the total moment at 0.000 μB/atom. As for the density of states at the Fermi level: 6.50 states/eV/cell.

abc: 5.4251 5.4251 5.4251
angles: 90.00 90.00 90.00
With the nearest neighbours (Å) after each atom.
Space group Fm-3m (No. 225)
Symmetry-distinct sites (fractional):
B 0.0000 0.0000 0.0000 (multiplicity 4)  8 Os 2.35
Os 0.2500 0.2500 0.2500 (multiplicity 8)  4 B 2.35, 4 C 2.35
C 0.0000 0.0000 0.5000 (multiplicity 4)  8 Os 2.35



Copy entry 2 word for word.
The following is a DFT calculation (PBE-GGA) of a geometry-optimized BOsC3 structure.

The calculation puts the energy relative to the elements at 2.70 eV/atom. The calculation puts the total moment at 0.000 μB/atom. As for the density of states at the Fermi level: 3.91 states/eV/cell.

abc: 3.9789 3.9789 3.9789
angles: 90.00 90.00 90.00
With the nearest neighbours (Å) after each atom.
Space group Pm-3m (No. 221)
Symmetry-distinct sites (fractional):
B 0.0000 0.0000 0.0000 (multiplicity 1)  12 C 2.81
Os 0.5000 0.5000 0.5000 (multiplicity 1)  6 C 1.99
C 0.0000 0.5000 0.5000 (multiplicity 3)  2 Os 1.99



- Number 1 is which compound?
  TiBC2O